Entry 1:
VASP calculation (GGA-PBE) on an optimized crystal structure of RuPt2Rh.

For the density of states at the Fermi level, the calculation gives 3.983 states/eV/cell. The calculation puts the polymorph energy (0 for the lowest one) at 25 meV/atom. As for the formation energy: -0.013 eV/atom. Its space group is No. 8. For the calculated density, the calculation gives 16.65 g/cm³. The calculation puts the total energy at -7.19 eV/atom. As for the total moment: 0.00 μB/f.u. As for the volume: 14.8 A^3/atom.

Cell lengths 4.7783, 4.7783, 4.7797 Å; angles 99.43, 99.43, 33.44 degrees
With the nearest neighbours (Å) after each atom.
Fractional coordinates of all 4 atoms:
1 Ru 0.0000 0.0000 0.0000  3 Rh 2.69-2.78, 7 Pt 2.73-2.78, 2 Ru 2.75
2 Pt 0.2511 0.2511 0.7502  4 Rh 2.71-2.81, 5 Pt 2.74-2.80, 3 Ru 2.75-2.77
3 Pt 0.4962 0.4962 0.4927  4 Ru 2.73-2.78, 5 Pt 2.74-2.80, 3 Rh 2.75-2.79
4 Rh 0.7428 0.7428 0.2356  3 Ru 2.69-2.78, 7 Pt 2.71-2.81, 2 Rh 2.75

***

Entry 2:
VASP calculation (GGA-PBE) on an optimized crystal structure of SrVAs2.

For the density of states at the Fermi level, the calculation gives 2.354 states/eV/cell. The calculation puts the polymorph energy (0 for the lowest one) at 0 meV/atom. As for the formation energy: -0.528 eV/atom. Its space group is No. 119. For the calculated density, the calculation gives 4.82 g/cm³. The calculation puts the total energy at -5.55 eV/atom. As for the total moment: 0.99 μB/f.u. As for the volume: 24.8 A^3/atom.

Cell lengths 6.7684, 6.7684, 6.7684 Å; angles 145.43, 145.43, 49.69 degrees
With the nearest neighbours (Å) after each atom.
Fractional coordinates of all 4 atoms:
1 Sr 0.0000 0.0000 0.0000  8 As 3.34, 4 V 3.67
2 V 0.2500 0.7500 0.5000  4 As 2.41
3 As 0.3575 0.3575 0.0000  2 V 2.41
4 As 0.6425 0.6425 0.0000  2 V 2.41

***

Entry 3:
VASP calculation (GGA-PBE) on an optimized crystal structure of SmRh4O8.

For the density of states at the Fermi level, the calculation gives 5.770 states/eV/cell. Its space group is No. 166. For the calculated density, the calculation gives 6.50 g/cm³. The calculation puts the total energy at -6.85 eV/atom. The raw formation energy comes out at -1.18 eV per atom. As for the total moment: 0.59 μB/f.u. As for the volume: 13.5 A^3/atom.

Cell lengths 6.3310, 6.3310, 6.3310 Å; angles 59.19, 59.19, 59.19 degrees
With the nearest neighbours (Å) after each atom.
Fractional coordinates of all 13 atoms:
1 Sm 0.0000 0.0000 0.0000  6 O 2.39
2 Rh 0.0000 0.0000 0.5000  6 O 2.02-2.08
3 Rh 0.0000 0.5000 0.0000  6 O 2.02-2.08
4 Rh 0.5000 0.0000 0.0000  6 O 2.02-2.08
5 Rh 0.5000 0.5000 0.5000  6 O 2.08
6 O 0.2252 0.2252 0.2252  3 Rh 2.02
7 O 0.2324 0.7330 0.7330  3 Rh 2.08
8 O 0.2670 0.2670 0.7676  3 Rh 2.08
9 O 0.2670 0.7676 0.2670  3 Rh 2.08
10 O 0.7330 0.2324 0.7330  3 Rh 2.08
11 O 0.7330 0.7330 0.2324  3 Rh 2.08
12 O 0.7676 0.2670 0.2670  3 Rh 2.08
13 O 0.7748 0.7748 0.7748  3 Rh 2.02

***

Entry 4:
VASP calculation (GGA-PBE) on an optimized crystal structure of NpU2N.

Its space group is No. 123. For the calculated density, the calculation gives 18.83 g/cm³. The calculation puts the total energy at -10.66 eV/atom. The raw formation energy comes out at 0.30 eV per atom. As for the total moment: 1.20 μB/f.u. As for the volume: 16.0 A^3/atom.

Cell lengths 4.2518, 4.2518, 3.5465 Å; angles 90.00, 90.00, 90.00 degrees
With the nearest neighbours (Å) after each atom.
Fractional coordinates of all 4 atoms:
1 Np 0.0000 0.0000 0.0000  8 U 2.77, 4 N 3.01
2 U 0.0000 0.5000 0.5000  4 Np 2.77, 4 N 2.77, 4 U 3.01
3 U 0.5000 0.0000 0.5000  4 Np 2.77, 4 N 2.77, 4 U 3.01
4 N 0.5000 0.5000 0.0000  8 U 2.77, 4 Np 3.01

***

Entry 5:
VASP calculation (GGA-PBE) on an optimized crystal structure of LiNbCd2Si.

For the density of states at the Fermi level, the calculation gives 3.609 states/eV/cell. Its space group is No. 123. For the calculated density, the calculation gives 3.99 g/cm³. The calculation puts the total energy at -2.43 eV/atom. The raw formation energy comes out at 1.42 eV per atom. As for the total moment: 2.83 μB/f.u. As for the volume: 29.3 A^3/atom.

Cell lengths 5.4167, 5.4167, 4.9997 Å; angles 90.00, 90.00, 90.00 degrees
With the nearest neighbours (Å) after each atom.
Fractional coordinates of all 5 atoms:
1 Li 0.0000 0.0000 0.0000  2 Nb 2.50
2 Nb 0.0000 0.0000 0.5000  2 Li 2.50, 4 Cd 2.71
3 Cd 0.0000 0.5000 0.5000  2 Nb 2.71
4 Cd 0.5000 0.0000 0.5000  2 Nb 2.71
5 Si 0.5000 0.5000 0.0000  8 Cd 3.69, 4 Li 3.83

***

Entry 6:
VASP calculation (GGA-PBE) on an optimized crystal structure of Pr2Al2S7.

For the density of states at the Fermi level, the calculation gives 0.000 states/eV/cell. Its space group is No. 12. For the calculated density, the calculation gives 3.05 g/cm³. The calculation puts the total energy at -5.42 eV/atom. The raw formation energy comes out at -1.25 eV per atom. As for the total moment: 0.00 μB/f.u. As for the volume: 27.8 A^3/atom.

Cell lengths 7.3124, 7.3124, 6.6183 Å; angles 101.94, 101.94, 111.84 degrees
With the nearest neighbours (Å) after each atom.
Fractional coordinates of all 11 atoms:
1 Pr 0.1896 0.8104 0.0000  6 S 2.81-2.95
2 Pr 0.8104 0.1896 0.0000  6 S 2.81-2.95
3 Al 0.2734 0.2734 0.6365  4 S 2.20-2.35
4 Al 0.7266 0.7266 0.3635  4 S 2.20-2.35
5 S 0.0787 0.3941 0.7801  1 Al 2.20
6 S 0.1817 0.1817 0.2704  1 Al 2.26, 1 S 2.49
7 S 0.3941 0.0787 0.7801  1 Al 2.20
8 S 0.5000 0.5000 0.5000  2 Al 2.35, 2 S 2.49
9 S 0.6059 0.9213 0.2199  1 Al 2.20
10 S 0.8183 0.8183 0.7296  1 Al 2.26, 1 S 2.49
11 S 0.9213 0.6059 0.2199  1 Al 2.20

***

Entry 7:
VASP calculation (GGA-PBE) on an optimized crystal structure of Cu2NiH.

For the density of states at the Fermi level, the calculation gives 3.226 states/eV/cell. The calculation puts the polymorph energy (0 for the lowest one) at 306 meV/atom. Its space group is No. 123. For the calculated density, the calculation gives 8.15 g/cm³. The calculation puts the total energy at -4.05 eV/atom. As for the total moment: 0.00 μB/f.u. As for the volume: 9.5 A^3/atom.

Cell lengths 2.4640, 2.4640, 6.2682 Å; angles 90.00, 90.00, 90.00 degrees
With the nearest neighbours (Å) after each atom.
Fractional coordinates of all 4 atoms:
1 Cu 0.0000 0.0000 0.2013  4 H 2.15
2 Cu 0.0000 0.0000 0.7987  4 H 2.15
3 Ni 0.5000 0.5000 0.5000  4 Ni 2.46, 8 Cu 2.56
4 H 0.5000 0.5000 0.0000  8 Cu 2.15

***

Entry 8:
VASP calculation (GGA-PBE) on an optimized crystal structure of SnSe2F.

For the density of states at the Fermi level, the calculation gives 1.570 states/eV/cell. The calculation puts the polymorph energy (0 for the lowest one) at 343 meV/atom. Its space group is No. 166. For the calculated density, the calculation gives 4.80 g/cm³. The calculation puts the total energy at -3.70 eV/atom. The raw formation energy comes out at -0.49 eV per atom. As for the total moment: 0.00 μB/f.u. As for the volume: 25.6 A^3/atom.

Cell lengths 7.9971, 7.9971, 7.9971 Å; angles 28.40, 28.40, 28.40 degrees
With the nearest neighbours (Å) after each atom.
Fractional coordinates of all 4 atoms:
1 Sn 0.0000 0.0000 0.0000  6 Se 2.80
2 Se 0.4045 0.4045 0.4045  1 F 2.20
3 Se 0.5955 0.5955 0.5955  1 F 2.20
4 F 0.5000 0.5000 0.5000  2 Se 2.20

***

Entry 9:
VASP calculation (GGA-PBE) on an optimized crystal structure of Mn2CuAu8.

For the density of states at the Fermi level, the calculation gives 5.992 states/eV/cell. The calculation puts the polymorph energy (0 for the lowest one) at 93 meV/atom. As for the formation energy: 0.141 eV/atom. Its space group is No. 12. For the calculated density, the calculation gives 15.96 g/cm³. The calculation puts the total energy at -4.28 eV/atom. As for the total moment: 0.89 μB/f.u. As for the volume: 16.5 A^3/atom.

Cell lengths 9.1139, 9.1139, 7.3917 Å; angles 108.67, 108.67, 18.26 degrees
With the nearest neighbours (Å) after each atom.
Fractional coordinates of all 11 atoms:
1 Mn 0.2438 0.2438 0.0956  2 Mn 2.08
2 Mn 0.7562 0.7562 0.9044  2 Mn 2.08
3 Cu 0.5000 0.5000 0.5000  8 Au 2.74-2.76, 2 Cu 2.89
4 Au 0.0386 0.0386 0.2279  2 Cu 2.74, 9 Au 2.89-3.03
5 Au 0.1377 0.1377 0.6414  2 Cu 2.76, 2 Mn 2.78, 8 Au 2.89-3.09
6 Au 0.3099 0.3099 0.6440  2 Mn 2.82, 10 Au 2.86-3.09
7 Au 0.3946 0.3946 0.0447  3 Mn 2.77-2.86, 9 Au 2.86-3.03
8 Au 0.6054 0.6054 0.9553  3 Mn 2.77-2.86, 9 Au 2.86-3.03
9 Au 0.6901 0.6901 0.3560  2 Mn 2.82, 10 Au 2.86-3.09
10 Au 0.8623 0.8623 0.3586  2 Cu 2.76, 2 Mn 2.78, 8 Au 2.89-3.09
11 Au 0.9614 0.9614 0.7721  2 Cu 2.74, 9 Au 2.89-3.03

***

Entry 10:
VASP calculation (GGA-PBE) on an optimized crystal structure of Cr2HRu.

For the density of states at the Fermi level, the calculation gives 3.847 states/eV/cell. The calculation puts the polymorph energy (0 for the lowest one) at 0 meV/atom. Its space group is No. 160. For the calculated density, the calculation gives 8.68 g/cm³. The calculation puts the total energy at -7.92 eV/atom. As for the total moment: 0.00 μB/f.u. As for the volume: 9.9 A^3/atom.

Cell lengths 6.5924, 6.5924, 6.5924 Å; angles 23.32, 23.32, 23.32 degrees
With the nearest neighbours (Å) after each atom.
Fractional coordinates of all 4 atoms:
1 Cr 0.0000 0.0000 0.0000  3 H 1.92
2 Cr 0.2173 0.2173 0.2173  3 H 1.88
3 H 0.6065 0.6065 0.6065  6 Cr 1.88-1.92
4 Ru 0.7756 0.7756 0.7756  6 Cr 2.59-2.60, 6 Ru 2.66

***

Entry 11:
VASP calculation (GGA-PBE) on an optimized crystal structure of CeIn2Cu9.

For the density of states at the Fermi level, the calculation gives 19.223 states/eV/cell. As for the formation energy: -0.110 eV/atom. Its space group is No. 194. For the calculated density, the calculation gives 8.58 g/cm³. The calculation puts the total energy at -4.13 eV/atom. As for the total moment: 0.69 μB/f.u. As for the volume: 15.2 A^3/atom.

Cell lengths 5.0746, 5.0746, 16.3442 Å; angles 90.00, 90.00, 120.00 degrees
With the nearest neighbours (Å) after each atom.
Fractional coordinates of all 24 atoms:
1 Ce 0.3333 0.6667 0.2500  18 Cu 2.93-3.27
2 Ce 0.6667 0.3333 0.7500  18 Cu 2.93-3.27
3 In 0.3333 0.6667 0.0391  12 Cu 2.89-3.03, 3 In 3.20
4 In 0.3333 0.6667 0.4609  12 Cu 2.89-3.03, 3 In 3.20
5 In 0.6667 0.3333 0.5391  12 Cu 2.89-3.03, 3 In 3.20
6 In 0.6667 0.3333 0.9609  12 Cu 2.89-3.03, 3 In 3.20
7 Cu 0.0000 0.0000 0.0000  6 Cu 2.50
8 Cu 0.0000 0.0000 0.2500  6 Cu 2.54
9 Cu 0.0000 0.0000 0.5000  6 Cu 2.50
10 Cu 0.0000 0.0000 0.7500  6 Cu 2.54
11 Cu 0.1679 0.3358 0.6237  7 Cu 2.50-2.56
12 Cu 0.1679 0.3358 0.8763  7 Cu 2.50-2.56
13 Cu 0.1679 0.8321 0.6237  7 Cu 2.50-2.56
14 Cu 0.1679 0.8321 0.8763  7 Cu 2.50-2.56
15 Cu 0.3333 0.6667 0.7500  6 Cu 2.52
16 Cu 0.3358 0.1679 0.1237  7 Cu 2.50-2.56
17 Cu 0.3358 0.1679 0.3763  7 Cu 2.50-2.56
18 Cu 0.6642 0.8321 0.6237  7 Cu 2.50-2.56
19 Cu 0.6642 0.8321 0.8763  7 Cu 2.50-2.56
20 Cu 0.6667 0.3333 0.2500  6 Cu 2.52
21 Cu 0.8321 0.1679 0.1237  7 Cu 2.50-2.56
22 Cu 0.8321 0.1679 0.3763  7 Cu 2.50-2.56
23 Cu 0.8321 0.6642 0.1237  7 Cu 2.50-2.56
24 Cu 0.8321 0.6642 0.3763  7 Cu 2.50-2.56